# 1
{"formula": "TlTcOs2I", "functional": "PBE", "state": "optimized geometry", "cell": [[4.957, 0.000, 0.000], [0.000, 4.957, 0.000], [0.000, 0.000, 5.525]], "species": ["Tl", "Tc", "Os", "Os", "I"], "frac_coords": [[0.000, 0.000, 0.000], [0.500, 0.500, 0.500], [0.000, 0.500, 0.000], [0.500, 0.000, 0.000], [0.000, 0.000, 0.500]], "raw_formation_energy_ev_per_atom": 3.480, "dos_at_fermi_per_ev_cell": 15.40, "space_group": "No. 123"}


# 2
{"formula": "VTc2OsI", "functional": "PBE", "state": "optimized geometry", "cell": [[4.734, 0.000, 0.000], [0.000, 4.734, 0.000], [0.000, 0.000, 4.678]], "species": ["V", "Tc", "Tc", "Os", "I"], "frac_coords": [[0.000, 0.000, 0.000], [0.000, 0.500, 0.500], [0.500, 0.000, 0.500], [0.500, 0.500, 0.000], [0.000, 0.000, 0.500]], "raw_formation_energy_ev_per_atom": 2.453, "dos_at_fermi_per_ev_cell": 6.70, "space_group": "No. 123"}


# 3
{"formula": "Te2OsI", "functional": "PBE", "state": "optimized geometry", "cell": [[3.176, 0.000, 0.000], [-1.588, 2.751, 0.000], [0.000, 0.000, 39.920]], "species": ["Te", "Te", "Te", "Te", "Te", "Te", "Os", "Os", "Os", "I", "I", "I"], "frac_coords": [[0.000, 0.000, 0.064], [0.000, 0.000, 0.936], [0.333, 0.667, 0.603], [0.333, 0.667, 0.731], [0.667, 0.333, 0.269], [0.667, 0.333, 0.397], [0.000, 0.000, 0.000], [0.333, 0.667, 0.667], [0.667, 0.333, 0.333], [0.000, 0.000, 0.500], [0.333, 0.667, 0.167], [0.667, 0.333, 0.833]], "raw_formation_energy_ev_per_atom": 0.706, "dos_at_fermi_per_ev_cell": 9.01, "polymorph_energy_ev_per_atom": 0.5912, "space_group": "No. 166"}


# 4
{"formula": "Te2OsI", "functional": "PBE", "state": "optimized geometry", "cell": [[4.110, 0.000, 0.000], [-2.055, 3.560, 0.000], [0.000, 0.000, 25.527]], "species": ["Te", "Te", "Te", "Te", "Te", "Te", "Os", "Os", "Os", "I", "I", "I"], "frac_coords": [[0.000, 0.000, 0.118], [0.000, 0.000, 0.882], [0.333, 0.667, 0.549], [0.333, 0.667, 0.784], [0.667, 0.333, 0.216], [0.667, 0.333, 0.451], [0.000, 0.000, 0.500], [0.333, 0.667, 0.167], [0.667, 0.333, 0.833], [0.000, 0.000, 0.000], [0.333, 0.667, 0.667], [0.667, 0.333, 0.333]], "raw_formation_energy_ev_per_atom": 0.115, "dos_at_fermi_per_ev_cell": 8.95, "polymorph_energy_ev_per_atom": 0.0000, "space_group": "No. 166"}


Theoretical density (computed, g cm⁻³): 9.907 8.936 8.174 7.634